[1]
# LiGd2Al PBE-GGA relaxed
# * DFT formation energy: -214 meV/atom
# * density: 5.81 Mg/m³
# * DOS at the Fermi energy: 3.26 states/eV/f.u.
# * E: -138.7 eV per cell
data_LiGd2Al
_symmetry_space_group_name_H-M 'F m -3 m'
_symmetry_Int_Tables_number 225
_symmetry_space_group_name_Hall '-F 4 2 3'
_cell_length_a 7.3595
_cell_length_b 7.3595
_cell_length_c 7.3595
_cell_angle_alpha 90.00
_cell_angle_beta 90.00
_cell_angle_gamma 90.00
loop_
_atom_site_label
_atom_site_type_symbol
_atom_site_fract_x
_atom_site_fract_y
_atom_site_fract_z
Li1 Li 0.0000 0.0000 0.0000
Gd1 Gd 0.2500 0.2500 0.2500
Al1 Al 0.0000 0.0000 0.5000

---

[2]
# LiGdAl PBE-GGA relaxed
# * DFT formation energy: -208 meV/atom
# * density: 4.76 Mg/m³
# * DOS at the Fermi energy: 1.47 states/eV/f.u.
# * E: -20.4 eV per cell
# * relative energy among the computed polymorphs: 0.000 eV/atom
data_LiGdAl
_symmetry_space_group_name_H-M 'P -6 m 2'
_symmetry_Int_Tables_number 187
_symmetry_space_group_name_Hall 'P -6 2'
_cell_length_a 4.8665
_cell_length_b 4.8665
_cell_length_c 3.2547
_cell_angle_alpha 90.00
_cell_angle_beta 90.00
_cell_angle_gamma 120.00
loop_
_atom_site_label
_atom_site_type_symbol
_atom_site_fract_x
_atom_site_fract_y
_atom_site_fract_z
Li1 Li 0.0000 0.0000 0.0000
Gd1 Gd 0.6667 0.3333 0.5000
Al1 Al 0.3333 0.6667 0.0000

---

[3]
# LiGdAl2 PBE-GGA relaxed
# * DFT formation energy: -271 meV/atom
# * density: 4.57 Mg/m³
# * DOS at the Fermi energy: 1.76 states/eV/f.u.
# * E: -24.6 eV per cell
# * relative energy among the computed polymorphs: 0.000 eV/atom
data_LiGdAl2
_symmetry_space_group_name_H-M 'P 4/m m m'
_symmetry_Int_Tables_number 123
_symmetry_space_group_name_Hall '-P 4 2'
_cell_length_a 3.3396
_cell_length_b 3.3396
_cell_length_c 7.1149
_cell_angle_alpha 90.00
_cell_angle_beta 90.00
_cell_angle_gamma 90.00
loop_
_atom_site_label
_atom_site_type_symbol
_atom_site_fract_x
_atom_site_fract_y
_atom_site_fract_z
Li1 Li 0.0000 0.0000 0.0000
Gd1 Gd 0.0000 0.0000 0.5000
Al1 Al 0.5000 0.5000 0.1978

---

[4]
# Li4GdAl PBE-GGA relaxed
# * DFT formation energy: -52 meV/atom
# * density: 3.11 Mg/m³
# * DOS at the Fermi energy: 3.42 states/eV/f.u.
# * E: -103.2 eV per cell
data_Li4GdAl
_symmetry_space_group_name_H-M 'F -4 3 m'
_symmetry_Int_Tables_number 216
_symmetry_space_group_name_Hall 'F -4 2 3'
_cell_length_a 7.6819
_cell_length_b 7.6819
_cell_length_c 7.6819
_cell_angle_alpha 90.00
_cell_angle_beta 90.00
_cell_angle_gamma 90.00
loop_
_atom_site_label
_atom_site_type_symbol
_atom_site_fract_x
_atom_site_fract_y
_atom_site_fract_z
Li1 Li 0.1232 0.1232 0.1232
Gd1 Gd 0.0000 0.0000 0.5000
Al1 Al 0.2500 0.2500 0.7500

---

[5]
# LiGdLuAl PBE-GGA relaxed
# * DFT formation energy: -207 meV/atom
# * density: 6.39 Mg/m³
# * DOS at the Fermi energy: 2.95 states/eV/f.u.
# * E: -100.3 eV per cell
data_LiGdLuAl
_symmetry_space_group_name_H-M 'F -4 3 m'
_symmetry_Int_Tables_number 216
_symmetry_space_group_name_Hall 'F -4 2 3'
_cell_length_a 7.2467
_cell_length_b 7.2467
_cell_length_c 7.2467
_cell_angle_alpha 90.00
_cell_angle_beta 90.00
_cell_angle_gamma 90.00
loop_
_atom_site_label
_atom_site_type_symbol
_atom_site_fract_x
_atom_site_fract_y
_atom_site_fract_z
Li1 Li 0.0000 0.0000 0.0000
Gd1 Gd 0.2500 0.2500 0.2500
Lu1 Lu 0.2500 0.2500 0.7500
Al1 Al 0.0000 0.0000 0.5000

---

[6]
# LiGdMnAl PBE-GGA relaxed
# * DFT formation energy: -21 meV/atom
# * density: 5.41 Mg/m³
# * DOS at the Fermi energy: 3.75 states/eV/f.u.
# * E: -116.0 eV per cell
data_LiGdMnAl
_symmetry_space_group_name_H-M 'F -4 3 m'
_symmetry_Int_Tables_number 216
_symmetry_space_group_name_Hall 'F -4 2 3'
_cell_length_a 6.7087
_cell_length_b 6.7087
_cell_length_c 6.7087
_cell_angle_alpha 90.00
_cell_angle_beta 90.00
_cell_angle_gamma 90.00
loop_
_atom_site_label
_atom_site_type_symbol
_atom_site_fract_x
_atom_site_fract_y
_atom_site_fract_z
Li1 Li 0.0000 0.0000 0.0000
Gd1 Gd 0.2500 0.2500 0.7500
Mn1 Mn 0.0000 0.0000 0.5000
Al1 Al 0.2500 0.2500 0.2500

---

Q: What is the DOS at the Fermi energy in the sixth record?
A: 3.75 states/eV/f.u.